Entry 1:
DFT (PBE) results for crystalline HfCuRe3 at its relaxed geometry.

Computed properties:
Symmetry: Pm-3m, No. 221
Uncorrected energy (eV/atom): -8.82
M_tot (μB/cell): 0.0
E above lowest polymorph (meV/atom): 0.0

```
5
Lattice="4.472 0.000 0.000 0.000 4.472 0.000 0.000 0.000 4.472" Properties=species:S:1:pos:R:3 pbc="T T T"
Re 0.000 0.000 2.236
Hf 2.236 2.236 2.236
Re 2.236 0.000 0.000
Cu 0.000 0.000 0.000
Re 0.000 2.236 0.000
```



Entry 2:
DFT (PBE) results for crystalline P2HRu2 at its relaxed geometry.

Computed properties:
Symmetry: P4/mbm, No. 127
Uncorrected energy (eV/atom): -6.31
M_tot (μB/cell): 0.9
E above lowest polymorph (meV/atom): 196.4

```
10
Lattice="-4.464 -5.105 -0.595 4.809 -4.426 1.903 -0.744 0.339 2.669" Properties=species:S:1:pos:R:3 pbc="T T T"
H 0.172 -4.766 0.654
P -0.697 -7.218 0.723
P 2.526 -5.578 1.413
P -2.181 -3.953 -0.105
Ru -1.249 -2.284 1.402
Ru 0.850 -6.908 2.574
P 1.042 -2.313 0.584
Ru -2.482 -5.756 1.499
H 0.000 0.000 0.000
Ru 2.083 -3.436 2.477
```



Entry 3:
DFT (PBE) results for crystalline Ca2TbTm at its relaxed geometry.

Computed properties:
Symmetry: P4/mmm, No. 123
Uncorrected energy (eV/atom): -3.08
M_tot (μB/cell): 0.0
E above lowest polymorph (meV/atom): 7.6

```
4
Lattice="4.115 0.000 0.000 0.000 4.115 0.000 0.000 0.000 8.255" Properties=species:S:1:pos:R:3 pbc="T T T"
Tb 2.058 2.058 0.000
Tm 2.058 2.058 4.128
Ca 0.000 0.000 6.166
Ca 0.000 0.000 2.090
```



Entry 4:
DFT (PBE) results for crystalline Cs2RbOsO4 at its relaxed geometry.

Computed properties:
Symmetry: I-4, No. 82
Uncorrected energy (eV/atom): -5.54
M_tot (μB/cell): 1.0
Uncorrected formation energy (meV per atom): -1322

```
8
Lattice="-4.486 0.091 4.377 1.670 -5.771 -1.787 5.491 2.301 1.961" Properties=species:S:1:pos:R:3 pbc="T T T"
Cs 0.383 -3.708 1.339
O -0.376 -1.016 2.795
Rb 2.293 0.328 3.212
Os 3.581 -1.735 0.087
Cs 0.000 0.000 0.000
O 4.145 -0.150 0.879
O 3.350 -2.508 1.763
O -1.768 -3.084 3.665
```



Entry 5:
DFT (PBE) results for crystalline SmEuAl4 at its relaxed geometry.

Computed properties:
Symmetry: F-43m, No. 216
Uncorrected energy (eV/atom): -5.44
M_tot (μB/cell): 7.3

```
6
Lattice="-5.042 -2.455 0.794 -1.402 -4.616 -2.969 -0.324 -5.034 2.576" Properties=species:S:1:pos:R:3 pbc="T T T"
Sm 0.000 0.000 0.000
Al -1.708 -6.338 -0.146
Al -4.068 -5.048 -1.038
Al -4.231 -7.566 0.251
Al -3.529 -5.257 1.737
Eu -1.692 -3.026 0.100
```



Entry 6:
DFT (PBE) results for crystalline Al2VMoCl at its relaxed geometry.

Computed properties:
Symmetry: P4/mmm, No. 123
Uncorrected energy (eV/atom): -4.72
M_tot (μB/cell): 0.2
Uncorrected formation energy (meV per atom): 1139

```
5
Lattice="-4.810 -0.211 -1.290 1.118 -2.056 -3.832 -0.410 -4.426 2.255" Properties=species:S:1:pos:R:3 pbc="T T T"
V -2.051 -3.346 -1.433
Mo 0.000 0.000 0.000
Cl 0.559 -1.028 -1.916
Al -2.405 -0.106 -0.645
Al -0.205 -2.213 1.127
```